[1]
Computed, not measured: a geometry-optimized Cs2TcICl6 structure at the PBE level of DFT.

Output
**Excess energy over the best structure of this formula in the dataset**: 0.43 eV per formula unit
**Spin magnetization**: 3.1 μB per cell
**Calculated total energy**: -3.57 eV/atom
**Uncorrected formation energy**: -1.10 eV per atom
**D(E_F)**: 0.09 states/eV/atom
**V**: 371 Å³ per cell

Lattice parameters (Å, degrees): 7.9339 7.9339 7.9339 116.15 116.15 96.81
Last column: nearest neighbours and their distance in Å.
Fractional coordinates of all 10 atoms:
Cs: 0.2500 0.7500 0.5000  12 Cl 4.01-4.20
Cs: 0.7500 0.2500 0.5000  12 Cl 4.01-4.20
Tc: 0.0000 0.0000 0.0000  6 Cl 2.37-2.43
I: 0.5000 0.5000 0.0000  2 Cl 2.84
Cl: 0.2001 0.2001 0.4002  1 Tc 2.37
Cl: 0.2001 0.7999 0.0000  1 Tc 2.37
Cl: 0.2306 0.2306 0.0000  1 Tc 2.43
Cl: 0.7694 0.7694 0.0000  1 Tc 2.43
Cl: 0.7999 0.2001 0.0000  1 Tc 2.37
Cl: 0.7999 0.7999 0.5998  1 Tc 2.37

---

[2]
Computed, not measured: a geometry-optimized Al2CdSn2Au5 structure at the PBE level of DFT.

Output
**Energy of formation from the pure elements**: -0.133 eV per atom
**Spin magnetization**: 0.0 μB per cell
**Calculated total energy**: -3.41 eV/atom
**D(E_F)**: 0.34 states/eV/atom
**V**: 410 Å³ per cell

Lattice parameters (Å, degrees): 10.8683 10.8683 3.4701 90.00 90.00 90.00
Last column: nearest neighbours and their distance in Å.
Fractional coordinates of all 20 atoms:
Al: 0.1346 0.3654 0.0000  6 Au 2.64-2.70
Al: 0.3654 0.8654 0.0000  6 Au 2.64-2.70
Al: 0.6346 0.1346 0.0000  6 Au 2.64-2.70
Al: 0.8654 0.6346 0.0000  6 Au 2.64-2.70
Cd: 0.0000 0.0000 0.0000  8 Au 2.90
Cd: 0.5000 0.5000 0.0000  8 Au 2.90
Sn: 0.1720 0.6720 0.0000  1 Al 2.97, 6 Au 3.14-3.16
Sn: 0.3280 0.1720 0.0000  1 Al 2.97, 6 Au 3.14-3.16
Sn: 0.6720 0.8280 0.0000  1 Al 2.97, 6 Au 3.14-3.16
Sn: 0.8280 0.3280 0.0000  1 Al 2.97, 6 Au 3.14-3.16
Au: 0.0000 0.5000 0.5000  4 Al 2.70
Au: 0.0378 0.2106 0.5000  2 Al 2.64, 2 Cd 2.90
Au: 0.2106 0.9622 0.5000  2 Al 2.64, 2 Cd 2.90
Au: 0.2894 0.4622 0.5000  2 Al 2.64, 2 Cd 2.90
Au: 0.4622 0.7106 0.5000  2 Al 2.64, 2 Cd 2.90
Au: 0.5000 0.0000 0.5000  4 Al 2.70
Au: 0.5378 0.2894 0.5000  2 Al 2.64, 2 Cd 2.90
Au: 0.7106 0.5378 0.5000  2 Al 2.64, 2 Cd 2.90
Au: 0.7894 0.0378 0.5000  2 Al 2.64, 2 Cd 2.90
Au: 0.9622 0.7894 0.5000  2 Al 2.64, 2 Cd 2.90

---

[3]
Computed, not measured: a geometry-optimized PmAsPd structure at the PBE level of DFT.

Output
**Excess energy over the best structure of this formula in the dataset**: 0.01 eV per formula unit
**Energy of formation from the pure elements**: -1.163 eV per atom
**Spin magnetization**: 0.0 μB per cell
**Calculated total energy**: -6.03 eV/atom
**D(E_F)**: 0.20 states/eV/atom
**V**: 370 Å³ per cell

Lattice parameters (Å, degrees): 7.1339 4.2461 12.2041 90.00 90.58 90.00
Last column: nearest neighbours and their distance in Å.
Fractional coordinates of all 18 atoms:
Pm: 0.0239 0.2500 0.1249  5 As 2.99-3.02, 5 Pd 3.18-3.34
Pm: 0.1692 0.2500 0.4235  5 As 3.00-3.03, 3 Pd 3.13-3.16
Pm: 0.4729 0.7500 0.7958  5 As 2.94-3.04, 5 Pd 3.15-3.29
Pm: 0.5271 0.2500 0.2042  5 As 2.94-3.04, 5 Pd 3.15-3.29
Pm: 0.8308 0.7500 0.5765  5 As 3.00-3.03, 3 Pd 3.13-3.16
Pm: 0.9761 0.7500 0.8751  5 As 2.99-3.02, 5 Pd 3.18-3.34
As: 0.2352 0.7500 0.2512  3 Pd 2.67-2.69
As: 0.2551 0.7500 0.5903  5 Pd 2.69-2.82, 3 Pm 2.94-3.00
As: 0.2609 0.2500 0.9220  4 Pd 2.65-2.81
As: 0.7391 0.7500 0.0780  4 Pd 2.65-2.81
As: 0.7449 0.2500 0.4097  5 Pd 2.69-2.82, 3 Pm 2.94-3.00
As: 0.7648 0.2500 0.7488  3 Pd 2.67-2.69
Pd: 0.1339 0.2500 0.7056  4 As 2.69-2.78, 1 Pd 2.99
Pd: 0.3489 0.7500 0.0426  4 As 2.65-2.81
Pd: 0.4967 0.7500 0.4089  4 As 2.67-2.82
Pd: 0.5033 0.2500 0.5911  4 As 2.67-2.82
Pd: 0.6511 0.2500 0.9574  4 As 2.65-2.81
Pd: 0.8661 0.7500 0.2944  4 As 2.69-2.78, 1 Pd 2.99

---

[4]
Computed, not measured: a geometry-optimized Ca3BiPb structure at the PBE level of DFT.

Output
**Excess energy over the best structure of this formula in the dataset**: 0.00 eV per formula unit
**Energy of formation from the pure elements**: -0.602 eV per atom
**Spin magnetization**: 0.7 μB per cell
**Calculated total energy**: -3.32 eV/atom
**D(E_F)**: 0.30 states/eV/atom
**V**: 703 Å³ per cell

Lattice parameters (Å, degrees): 11.7524 11.7524 11.7524 153.56 95.10 90.90
Last column: nearest neighbours and their distance in Å.
Fractional coordinates of all 20 atoms:
Ca: 0.0383 0.1648 0.8736  3 Bi 3.23-3.51, 1 Pb 3.32
Ca: 0.1394 0.5078 0.6315  2 Bi 3.22-3.32, 3 Pb 3.28-3.45
Ca: 0.2088 0.8352 0.3736  3 Bi 3.23-3.51, 1 Pb 3.32
Ca: 0.2795 0.1678 0.1117  4 Pb 3.30-3.56, 3 Bi 3.36-3.59
Ca: 0.3763 0.5078 0.8685  2 Bi 3.22-3.32, 3 Pb 3.28-3.45
Ca: 0.4439 0.8322 0.6117  4 Pb 3.30-3.56, 3 Bi 3.36-3.59
Ca: 0.5561 0.1678 0.3883  4 Pb 3.30-3.56, 3 Bi 3.36-3.59
Ca: 0.6237 0.4922 0.1315  2 Bi 3.22-3.32, 3 Pb 3.28-3.45
Ca: 0.7205 0.8322 0.8883  4 Pb 3.30-3.56, 3 Bi 3.36-3.59
Ca: 0.7912 0.1648 0.6264  3 Bi 3.23-3.51, 1 Pb 3.32
Ca: 0.8606 0.4922 0.3685  2 Bi 3.22-3.32, 3 Pb 3.28-3.45
Ca: 0.9617 0.8352 0.1264  3 Bi 3.23-3.51, 1 Pb 3.32
Bi: 0.1368 0.6515 0.4853  8 Ca 3.22-3.59
Bi: 0.3338 0.3485 0.9853  8 Ca 3.22-3.59
Bi: 0.6662 0.6515 0.0147  8 Ca 3.22-3.59
Bi: 0.8632 0.3485 0.5147  8 Ca 3.22-3.59
Pb: 0.2476 0.9976 0.2500  8 Ca 3.28-3.56
Pb: 0.4330 0.6830 0.7500  8 Ca 3.30-3.48, 2 Pb 3.48
Pb: 0.5670 0.3170 0.2500  8 Ca 3.30-3.48, 2 Pb 3.48
Pb: 0.7524 0.0024 0.7500  8 Ca 3.28-3.56